(1)
Entry from the Alexandria database: a geometry-optimized TbSc3As4 structure (PBE).

The space group is Cmmm (No. 65) and the conventional cell measures 7.8928, 11.1671 and 3.9547 Å, with angles of 90.00, 90.00 and 90.00 degrees. Symmetry generates all atoms from Tb at (0.0000, 0.0000, 0.0000), Sc at (0.0000, 0.5000, 0.0000), Sc at (0.2500, 0.2500, 0.5000), As at (0.0000, 0.2556, 0.0000) and As at (0.2388, 0.5000, 0.5000).

The value obtained for the final energy is -6.677 eV per atom.


(2)
Entry from the Alexandria database: a geometry-optimized Tb3ScAs4 structure (PBE).

The space group is Cmmm (No. 65) and the conventional cell measures 8.1530, 11.5327 and 4.0831 Å, with angles of 90.00, 90.00 and 90.00 degrees. Symmetry generates all atoms from Tb at (0.0000, 0.0000, 0.0000), Tb at (0.2500, 0.2500, 0.5000), Sc at (0.0000, 0.5000, 0.0000), As at (0.0000, 0.2552, 0.0000) and As at (0.2397, 0.5000, 0.5000).

The value obtained for the final energy is -6.334 eV per atom.


(3)
Entry from the Alexandria database: a geometry-optimized TbSc3As2 structure (PBE).

The space group is C2/m (No. 12) and the conventional cell measures 15.3405, 3.9031 and 10.0120 Å, with angles of 90.00, 112.05 and 90.00 degrees. Symmetry generates all atoms from Tb at (0.1214, 0.0000, 0.0333), Sc at (0.0587, 0.0000, 0.3951), Sc at (0.1216, 0.5000, 0.6897), Sc at (0.2151, 0.5000, 0.3692), As at (0.0192, 0.5000, 0.1826) and As at (0.2302, 0.0000, 0.8478).

The value obtained for the final energy is -6.351 eV per atom.


(4)
Entry from the Alexandria database: a geometry-optimized Tb2ScAs structure (PBE).

The space group is R-3m (No. 166, hexagonal axes) and the conventional cell measures 3.7871, 3.7871 and 29.4901 Å, with angles of 90.00, 90.00 and 120.00 degrees. Symmetry generates all atoms from Tb at (0.0000, 0.0000, 0.1078), Sc at (0.0000, 0.0000, 0.0000) and As at (0.0000, 0.0000, 0.5000).

The value obtained for the final energy is -5.348 eV per atom.


(5)
Entry from the Alexandria database: a geometry-optimized Tb3Th2ScAs6 structure (PBE).

The space group is C2/m (No. 12) and the conventional cell measures 18.0713, 4.1583 and 8.2810 Å, with angles of 90.00, 103.45 and 90.00 degrees. Symmetry generates all atoms from Tb at (0.0000, 0.0000, 0.0000), Tb at (0.1673, 0.5000, 0.3345), Th at (0.1634, 0.5000, 0.8280), Sc at (0.0000, 0.0000, 0.5000), As at (0.0029, 0.5000, 0.2617), As at (0.1621, 0.0000, 0.5749) and As at (0.1658, 0.0000, 0.0865).

The value obtained for the final energy is -6.701 eV per atom.


(6)
Entry from the Alexandria database: a geometry-optimized Tb2ThScAs4 structure (PBE).

The space group is P2/m (No. 10) and the conventional cell measures 7.1024, 4.1286 and 7.1440 Å, with angles of 90.00, 109.47 and 90.00 degrees. Symmetry generates all atoms from Tb at (0.0000, 0.0000, 0.0000), Tb at (0.5000, 0.5000, 0.0000), Th at (0.0000, 0.5000, 0.5000), Sc at (0.5000, 0.0000, 0.5000), As at (0.2603, 0.0000, 0.7498) and As at (0.2622, 0.5000, 0.2580).

The value obtained for the final energy is -6.653 eV per atom.


(7)
Entry from the Alexandria database: a geometry-optimized TbThSc2As4 structure (PBE).

The space group is P2/m (No. 10) and the conventional cell measures 6.9672, 4.0647 and 7.0252 Å, with angles of 90.00, 109.61 and 90.00 degrees. Symmetry generates all atoms from Tb at (0.0000, 0.0000, 0.0000), Th at (0.0000, 0.5000, 0.5000), Sc at (0.5000, 0.0000, 0.5000), Sc at (0.5000, 0.5000, 0.0000), As at (0.2681, 0.5000, 0.2531) and As at (0.2714, 0.0000, 0.7607).

The value obtained for the final energy is -6.833 eV per atom.


(8)
Entry from the Alexandria database: a geometry-optimized Tb2TmScAs4 structure (PBE).

The space group is P2/m (No. 10) and the conventional cell measures 7.0232, 4.0627 and 7.0303 Å, with angles of 90.00, 109.49 and 90.00 degrees. Symmetry generates all atoms from Tb at (0.0000, 0.0000, 0.0000), Tb at (0.0000, 0.5000, 0.5000), Tm at (0.5000, 0.0000, 0.5000), Sc at (0.5000, 0.5000, 0.0000), As at (0.2585, 0.5000, 0.2480) and As at (0.2621, 0.0000, 0.7588).

The value obtained for the final energy is -6.311 eV per atom.


(9)
Entry from the Alexandria database: a geometry-optimized Tb2Tm3ScAs6 structure (PBE).

The space group is C2/m (No. 12) and the conventional cell measures 17.6975, 4.0631 and 8.1217 Å, with angles of 90.00, 103.28 and 90.00 degrees. Symmetry generates all atoms from Tb at (0.1653, 0.0000, 0.3314), Tm at (0.0000, 0.5000, 0.5000), Tm at (0.1675, 0.0000, 0.8343), Sc at (0.0000, 0.5000, 0.0000), As at (0.0019, 0.0000, 0.7586), As at (0.1635, 0.5000, 0.0780) and As at (0.1657, 0.5000, 0.5861).

The value obtained for the final energy is -6.225 eV per atom.


(10)
Entry from the Alexandria database: a geometry-optimized Tb2ScUAs4 structure (PBE).

The space group is P2/m (No. 10) and the conventional cell measures 7.0179, 4.0528 and 7.0421 Å, with angles of 90.00, 109.17 and 90.00 degrees. Symmetry generates all atoms from Tb at (0.0000, 0.0000, 0.0000), Tb at (0.5000, 0.5000, 0.0000), Sc at (0.0000, 0.5000, 0.5000), U at (0.5000, 0.0000, 0.5000), As at (0.2424, 0.0000, 0.7363) and As at (0.2475, 0.5000, 0.2585).

The value obtained for the final energy is -6.967 eV per atom.


(11)
Entry from the Alexandria database: a geometry-optimized TbScU2As4 structure (PBE).

The space group is P2/m (No. 10) and the conventional cell measures 6.9656, 4.0236 and 7.0971 Å, with angles of 90.00, 109.08 and 90.00 degrees. Symmetry generates all atoms from Tb at (0.0000, 0.0000, 0.0000), Sc at (0.5000, 0.5000, 0.0000), U at (0.0000, 0.5000, 0.5000), U at (0.5000, 0.0000, 0.5000), As at (0.2565, 0.5000, 0.2472) and As at (0.2599, 0.0000, 0.7578).

The value obtained for the final energy is -7.606 eV per atom.


(12)
Entry from the Alexandria database: a geometry-optimized TbSc2UAs4 structure (PBE).

The space group is P2/m (No. 10) and the conventional cell measures 6.8997, 3.9892 and 6.9336 Å, with angles of 90.00, 109.29 and 90.00 degrees. Symmetry generates all atoms from Tb at (0.0000, 0.0000, 0.0000), Sc at (0.5000, 0.0000, 0.5000), Sc at (0.5000, 0.5000, 0.0000), U at (0.0000, 0.5000, 0.5000), As at (0.2633, 0.5000, 0.2588) and As at (0.2641, 0.0000, 0.7528).

The value obtained for the final energy is -7.144 eV per atom.


Repeat the third record exactly.
Entry from the Alexandria database: a geometry-optimized TbSc3As2 structure (PBE).

The space group is C2/m (No. 12) and the conventional cell measures 15.3405, 3.9031 and 10.0120 Å, with angles of 90.00, 112.05 and 90.00 degrees. Symmetry generates all atoms from Tb at (0.1214, 0.0000, 0.0333), Sc at (0.0587, 0.0000, 0.3951), Sc at (0.1216, 0.5000, 0.6897), Sc at (0.2151, 0.5000, 0.3692), As at (0.0192, 0.5000, 0.1826) and As at (0.2302, 0.0000, 0.8478).

The value obtained for the final energy is -6.351 eV per atom.